# 1
Here is a relaxed structure of Ho3ErAs4 from the Alexandria database. Energies are from PBE.

a b c (Å): 7.0917 7.0917 4.0966
angles (deg): 90.00 90.00 109.47
Atoms (fractional coordinates):
Ho  0.0000  0.0000  0.0000
Ho  0.0000  0.5000  0.5000
Ho  0.5000  0.0000  0.5000
Er  0.5000  0.5000  0.0000
As  0.2504  0.7496  0.0000
As  0.2507  0.2507  0.5000
As  0.7493  0.7493  0.5000
As  0.7496  0.2504  0.0000

Values from the calculation:
- E: -6.14 eV/atom
- Total moment: 0.00 μB per atom
- Volume: 24.28 Å³ per atom
- ρ: 8.22 g cm⁻³
- ΔE_f: -1527 meV per atom

***

# 2
Here is a relaxed structure of BiAsPt2 from the Alexandria database. Energies are from PBE.

a b c (Å): 8.4151 8.4151 8.4151
angles (deg): 146.09 146.09 48.72
Atoms (fractional coordinates):
Bi  0.0000  0.0000  0.0000
Bi  0.7500  0.2500  0.5000
As  0.2500  0.7500  0.5000
As  0.5000  0.5000  0.0000
Pt  0.2072  0.6250  0.0822
Pt  0.3750  0.4572  0.5822
Pt  0.5428  0.1250  0.9178
Pt  0.8750  0.7928  0.4178

Values from the calculation:
- E: -5.34 eV/atom
- Total moment: 0.00 μB per atom
- Volume: 23.09 Å³ per atom
- ρ: 12.12 g cm⁻³
- ΔE_f: -184 meV per atom

***

# 3
Here is a relaxed structure of NpS2Cl2F2 from the Alexandria database. Energies are from PBE.

a b c (Å): 6.3961 6.3961 6.9811
angles (deg): 114.91 114.91 42.41
Atoms (fractional coordinates):
Np  0.0000  0.0000  0.0000
S  0.0698  0.0698  0.6410
S  0.9302  0.9302  0.3590
Cl  0.4225  0.4225  0.7509
Cl  0.5775  0.5775  0.2491
F  0.1887  0.1887  0.1030
F  0.8113  0.8113  0.8970

Values from the calculation:
- E: -5.65 eV/atom
- Total moment: 0.43 μB per atom
- Volume: 24.55 Å³ per atom
- ρ: 3.96 g cm⁻³
- Formation energy from raw total energies: -1.5602 eV per atom

***

# 4
Here is a relaxed structure of PmHfNiOs from the Alexandria database. Energies are from PBE.

a b c (Å): 4.7429 4.7429 4.7429
angles (deg): 60.00 60.00 60.00
Atoms (fractional coordinates):
Pm  0.0000  0.0000  0.0000
Hf  0.5000  0.5000  0.5000
Ni  0.2500  0.2500  0.2500
Os  0.7500  0.7500  0.7500

Values from the calculation:
- E: -8.16 eV/atom
- Total moment: 0.00 μB per atom
- Volume: 18.86 Å³ per atom
- ρ: 12.60 g cm⁻³
- ΔE_f: -233 meV per atom

***

# 5
Here is a relaxed structure of Pm2NiSb3Pd4 from the Alexandria database. Energies are from PBE.

a b c (Å): 4.4317 4.4317 10.7938
angles (deg): 90.00 90.00 90.00
Atoms (fractional coordinates):
Pm  0.0000  0.5000  0.2432
Pm  0.5000  0.0000  0.7568
Ni  0.5000  0.5000  0.0000
Sb  0.0000  0.0000  0.0000
Sb  0.0000  0.5000  0.6380
Sb  0.5000  0.0000  0.3620
Pd  0.0000  0.0000  0.5000
Pd  0.0000  0.5000  0.8753
Pd  0.5000  0.0000  0.1247
Pd  0.5000  0.5000  0.5000

Values from the calculation:
- E: -5.56 eV/atom
- Total moment: 0.00 μB per atom
- Volume: 21.20 Å³ per atom
- ρ: 8.93 g cm⁻³
- Formation energy from raw total energies: -0.7151 eV per atom

***

# 6
Here is a relaxed structure of Ho2Mg from the Alexandria database. Energies are from PBE.

a b c (Å): 8.7507 8.7507 5.4439
angles (deg): 90.00 90.00 155.87
Atoms (fractional coordinates):
Ho  0.0938  0.9062  0.7500
Ho  0.2265  0.7735  0.2500
Ho  0.7735  0.2265  0.7500
Ho  0.9062  0.0938  0.2500
Mg  0.4347  0.5653  0.7500
Mg  0.5653  0.4347  0.2500

Values from the calculation:
- E: -3.65 eV/atom
- Total moment: 0.00 μB per atom
- Volume: 28.40 Å³ per atom
- ρ: 6.90 g cm⁻³
- ΔE_f: -62 meV per atom

***

# 7
Here is a relaxed structure of Sm3Er12Cd from the Alexandria database. Energies are from PBE.

a b c (Å): 4.9430 4.9430 19.9431
angles (deg): 90.00 90.00 90.00
Atoms (fractional coordinates):
Sm  0.0000  0.0000  0.0000
Sm  0.0000  0.0000  0.2523
Sm  0.0000  0.0000  0.7477
Er  0.0000  0.5000  0.1270
Er  0.0000  0.5000  0.3795
Er  0.0000  0.5000  0.6205
Er  0.0000  0.5000  0.8730
Er  0.5000  0.0000  0.1270
Er  0.5000  0.0000  0.3795
Er  0.5000  0.0000  0.6205
Er  0.5000  0.0000  0.8730
Er  0.5000  0.5000  0.0000
Er  0.5000  0.5000  0.2566
Er  0.5000  0.5000  0.5000
Er  0.5000  0.5000  0.7434
Cd  0.0000  0.0000  0.5000

Values from the calculation:
- E: -4.36 eV/atom
- Total moment: 0.00 μB per atom
- Volume: 30.46 Å³ per atom
- ρ: 8.76 g cm⁻³
- ΔE_f: -1 meV per atom

***

# 8
Here is a relaxed structure of BaNa2Ca from the Alexandria database. Energies are from PBE.

a b c (Å): 6.3171 6.3171 6.3171
angles (deg): 60.00 60.00 60.00
Atoms (fractional coordinates):
Ba  0.0000  0.0000  0.0000
Na  0.2500  0.2500  0.2500
Na  0.7500  0.7500  0.7500
Ca  0.5000  0.5000  0.5000

Values from the calculation:
- E: -1.61 eV/atom
- Total moment: 0.00 μB per atom
- Volume: 44.56 Å³ per atom
- ρ: 2.08 g cm⁻³
- ΔE_f: 33 meV per atom

***

# 9
Here is a relaxed structure of Tb5Sm12Y from the Alexandria database. Energies are from PBE.

a b c (Å): 10.8192 10.8192 5.1027
angles (deg): 90.00 90.00 90.00
Atoms (fractional coordinates):
Tb  0.0000  0.0000  0.0000
Tb  0.1667  0.1667  0.5000
Tb  0.3330  0.3330  0.0000
Tb  0.6670  0.6670  0.0000
Tb  0.8333  0.8333  0.5000
Sm  0.0008  0.3324  0.0000
Sm  0.1660  0.8340  0.5000
Sm  0.1671  0.4991  0.5000
Sm  0.3324  0.0008  0.0000
Sm  0.3338  0.6662  0.0000
Sm  0.4991  0.1671  0.5000
Sm  0.5009  0.8329  0.5000
Sm  0.6662  0.3338  0.0000
Sm  0.6676  0.9992  0.0000
Sm  0.8329  0.5009  0.5000
Sm  0.8340  0.1660  0.5000
Sm  0.9992  0.6676  0.0000
Y  0.5000  0.5000  0.5000

Values from the calculation:
- E: -4.78 eV/atom
- Total moment: 0.00 μB per atom
- Volume: 33.18 Å³ per atom
- ρ: 7.47 g cm⁻³
- ΔE_f: 16 meV per atom

***

# 10
Here is a relaxed structure of MgGe3B from the Alexandria database. Energies are from PBE.

a b c (Å): 4.4893 4.4893 4.4893
angles (deg): 90.00 90.00 90.00
Atoms (fractional coordinates):
Mg  0.0000  0.0000  0.0000
Ge  0.0000  0.5000  0.5000
Ge  0.5000  0.0000  0.5000
Ge  0.5000  0.5000  0.0000
B  0.5000  0.5000  0.5000

Values from the calculation:
- E: -3.87 eV/atom
- Total moment: 0.00 μB per atom
- Volume: 18.10 Å³ per atom
- ρ: 4.64 g cm⁻³
- ΔE_f: 554 meV per atom

***

What is the E in the fourth record? -8.16 eV/atom

***

Look up the volume of the first one. 24.28 Å³ per atom